A plane-wave DFT calculation with PBE was carried out for HfFe2Rh2 after structural relaxation.

a = 7.2000 Å, b = 7.2000 Å, c = 2.9042 Å
α = 90.00°, β = 90.00°, γ = 90.00°
Closest atoms and distances in Å follow each position.
Positions (direct):
Hf (0.0000, 0.0000, 0.0000)  4 Rh 2.79, 2 Hf 2.90, 8 Fe 3.07
Hf (0.5000, 0.5000, 0.0000)  4 Rh 2.79, 2 Hf 2.90, 8 Fe 3.07
Fe (0.1603, 0.3397, 0.5000)  6 Rh 2.52-2.59
Fe (0.3397, 0.8397, 0.5000)  6 Rh 2.52-2.59
Fe (0.6603, 0.1603, 0.5000)  6 Rh 2.52-2.59
Fe (0.8397, 0.6603, 0.5000)  6 Rh 2.52-2.59
Rh (0.1369, 0.6369, 0.0000)  6 Fe 2.52-2.59, 1 Rh 2.79, 2 Hf 2.79
Rh (0.3631, 0.1369, 0.0000)  6 Fe 2.52-2.59, 1 Rh 2.79, 2 Hf 2.79
Rh (0.6369, 0.8631, 0.0000)  6 Fe 2.52-2.59, 1 Rh 2.79, 2 Hf 2.79
Rh (0.8631, 0.3631, 0.0000)  6 Fe 2.52-2.59, 1 Rh 2.79, 2 Hf 2.79

Calculated values
Formation enthalpy at 0 K (eV/f.u.): -0.69